(1)
Entry from Alexandria via LeMat-Bulk: a geometry-optimized AlTlS2 structure (PBE).

Cell: 16.961 6.154 5.291 Å, 90.00 128.55 90.00°
Element x y z (fractional)
S1 0.131 0.500 0.761
S2 0.500 0.533 0.304
S3 0.869 0.500 0.239
S4 0.369 0.000 0.739
S5 0.631 0.000 0.261
S6 0.000 0.033 0.196
S7 0.500 0.467 0.696
S8 0.000 0.967 0.804
Al1 0.000 0.581 0.775
Al2 0.500 0.919 0.275
Al3 0.000 0.419 0.225
Al4 0.500 0.081 0.725
Tl1 0.704 0.500 0.409
Tl2 0.296 0.500 0.591
Tl3 0.796 0.000 0.091
Tl4 0.204 0.000 0.909

Results
DOS(E_F)   0.0000 states/eV/atom
SG   P2_1/c (14)
Formation energy from raw total energies   -562 meV per atom
Magnetization   0.000 μB per atom
V   26.99 A^3/atom
Mass density   4545 kg/m³
Electronic total energy   -4.15 eV per atom



(2)
Entry from Alexandria via LeMat-Bulk: a geometry-optimized Tm3AlTl4S8 structure (PBE).

Cell: 7.790 8.773 7.791 Å, 116.38 120.00 90.00°
Element x y z (fractional)
Tm1 0.500 0.500 0.000
Tm2 0.500 0.500 0.500
Tm3 0.000 0.500 0.500
S1 0.268 0.303 0.535
S2 0.218 0.687 0.436
S3 0.249 0.313 0.031
S4 0.782 0.313 0.031
S5 0.782 0.313 0.564
S6 0.751 0.687 0.969
S7 0.218 0.687 0.969
S8 0.732 0.697 0.465
Tl1 0.000 0.000 0.000
Tl2 0.000 0.000 0.500
Tl3 0.500 0.000 0.500
Tl4 0.500 0.000 0.000
Al1 0.000 0.500 0.000

Results
SG   R-3m (166)
Formation energy from raw total energies   -1277 meV per atom
Magnetization   0.000 μB per atom
V   24.74 A^3/atom
Mass density   6745 kg/m³
Electronic total energy   -5.00 eV per atom



Question: formation energy from raw total energies of number 2 (Tm3AlTl4S8)?
Answer: -1277 meV per atom